(1)
BeTeMo2 after structural relaxation. Source: Alexandria via LeMat-Bulk, functional GGA-PBE.

Results
V in Å³/f.u.: 62.8
Size of the total moment in μB per cell: 0.00
Energy above the most stable polymorph in this dataset in meV per atom: 393

Structure (POSCAR):
```
BeTeMo2
1.0
3.322 0.000 0.000
0.000 4.348 0.000
0.000 0.000 4.348
Be Mo Te
1 2 1
Cartesian
1.661 0.000 2.174
0.000 0.000 0.000
0.000 2.174 2.174
1.661 2.174 0.000
```

=====

(2)
BeTeMo2 after structural relaxation. Source: Alexandria via LeMat-Bulk, functional GGA-PBE.

Results
V in Å³/f.u.: 66.8
Size of the total moment in μB per cell: 0.00
Energy above the most stable polymorph in this dataset in meV per atom: 266

Structure (POSCAR):
```
BeTeMo2
1.0
4.645 0.002 -0.034
3.487 3.070 -0.034
0.645 0.243 4.680
Be Mo Te
1 2 1
Cartesian
2.194 0.829 1.153
8.150 3.078 0.154
4.369 1.650 2.085
6.582 2.486 3.460
```